Run w
Here is a relaxed structure of AlAg2Te from Alexandria. Energies are from PBEsol.

Geometry as extended XYZ:
```
4
Lattice="3.114 0.000 0.000 0.000 5.221 -0.015 0.000 -1.914 4.857" Properties=species:S:1:pos:R:3 pbc="T T T"
Al 1.557 0.000 0.000
Ag 0.000 2.610 -0.007
Ag 0.000 -0.957 2.429
Te 1.557 1.653 2.421
```

Values from the calculation:
ρ: 7797 kg/m³
Density of states at the Fermi level: 0.27 states/eV/atom
Space-group type: Cmmm (65)

Run x
Here is a relaxed structure of AlAg2Te from Alexandria. Energies are from PBEsol.

Geometry as extended XYZ:
```
4
Lattice="4.873 0.000 0.000 2.436 4.220 0.000 2.436 1.407 3.979" Properties=species:S:1:pos:R:3 pbc="T T T"
Ag 7.309 4.220 2.984
Ag 2.436 1.407 0.995
Te 4.873 2.813 1.989
Al 0.000 0.000 0.000
```

Values from the calculation:
ρ: 7516 kg/m³
Density of states at the Fermi level: 0.32 states/eV/atom
Space-group type: Fm-3m (225)

Winner for stability: run w

Run w
Here is a relaxed structure of YMgCu from Alexandria. Energies are from PBEsol.

Geometry as extended XYZ:
```
6
Lattice="-0.678 -2.980 -2.822 4.471 -2.226 1.276 -3.406 -1.311 5.270" Properties=species:S:1:pos:R:3 pbc="T T T"
Y 0.381 -1.418 1.406
Y 0.004 -5.099 2.318
Cu -1.721 -3.334 0.869
Cu 2.107 -3.183 2.855
Mg 2.515 -3.699 0.235
Mg -2.129 -2.819 3.489
```

Values from the calculation:
ρ: 4589 kg/m³
Density of states at the Fermi level: 0.99 states/eV/atom
Space-group type: C2/m (12)

Run x
Here is a relaxed structure of YMgCu from Alexandria. Energies are from PBEsol.

Geometry as extended XYZ:
```
6
Lattice="4.499 0.000 0.000 -2.249 4.788 0.000 0.000 0.000 5.695" Properties=species:S:1:pos:R:3 pbc="T T T"
Y 2.249 2.917 1.424
Y 0.000 1.871 4.271
Mg 2.249 0.000 0.000
Mg 2.249 0.000 2.848
Cu 2.249 3.762 4.271
Cu 0.000 1.026 1.424
```

Values from the calculation:
ρ: 4785 kg/m³
Density of states at the Fermi level: 0.62 states/eV/atom
Space-group type: Cmcm (63)

Run y
Here is a relaxed structure of YMgCu from Alexandria. Energies are from PBEsol.

Geometry as extended XYZ:
```
6
Lattice="4.053 0.000 0.000 0.000 4.053 0.000 -2.026 -2.026 7.646" Properties=species:S:1:pos:R:3 pbc="T T T"
Mg 2.026 0.000 0.000
Mg 0.000 2.026 0.000
Y 2.026 2.026 2.718
Y 0.000 0.000 4.928
Cu 2.026 2.026 5.684
Cu 0.000 0.000 1.962
```

Values from the calculation:
ρ: 4674 kg/m³
Density of states at the Fermi level: 0.90 states/eV/atom
Space-group type: I4/mmm (139)

Winner for stability: run x

Run w
Here is a relaxed structure of CaLa2Au from Alexandria. Energies are from PBEsol.

Geometry as extended XYZ:
```
4
Lattice="-1.575 0.457 4.262 1.791 -4.055 1.097 4.385 4.164 -1.273" Properties=species:S:1:pos:R:3 pbc="T T T"
La 3.142 -0.845 1.252
La 1.459 1.411 2.835
Au 0.108 -1.799 2.680
Ca 0.000 0.000 0.000
```

Values from the calculation:
ρ: 7780 kg/m³
Density of states at the Fermi level: 1.54 states/eV/atom
Space-group type: I4/mmm (139)

Run x
Here is a relaxed structure of CaLa2Au from Alexandria. Energies are from PBEsol.

Geometry as extended XYZ:
```
4
Lattice="3.670 0.000 0.000 0.000 3.670 0.000 0.000 0.000 8.902" Properties=species:S:1:pos:R:3 pbc="T T T"
La 0.000 0.000 0.140
La 1.835 1.835 2.639
Au 0.000 0.000 4.424
Ca 1.835 1.835 6.150
```

Values from the calculation:
ρ: 7130 kg/m³
Density of states at the Fermi level: 1.18 states/eV/atom
Space-group type: P4mm (99)

Winner for stability: run x

Run w
Here is a relaxed structure of Tl2SbPb from Alexandria. Energies are from PBEsol.

Geometry as extended XYZ:
```
4
Lattice="-2.750 -1.163 -1.320 2.914 -2.547 -3.827 0.742 -5.058 3.932" Properties=species:S:1:pos:R:3 pbc="T T T"
Tl -1.971 -6.116 2.570
Tl -0.447 -3.490 -1.888
Pb -0.586 -2.889 1.477
Sb 0.899 -5.606 0.545
```

Values from the calculation:
ρ: 10713 kg/m³
Density of states at the Fermi level: 0.49 states/eV/atom
Space-group type: Pm (6)

Run x
Here is a relaxed structure of Tl2SbPb from Alexandria. Energies are from PBEsol.

Geometry as extended XYZ:
```
4
Lattice="-2.148 -3.347 -0.478 3.364 -2.185 0.179 -0.732 -0.544 7.101" Properties=species:S:1:pos:R:3 pbc="T T T"
Pb -0.383 -0.285 3.715
Tl 0.426 -2.901 1.613
Tl -0.726 -0.540 7.037
Sb 0.068 -3.167 5.088
```

Values from the calculation:
ρ: 10640 kg/m³
Density of states at the Fermi level: 0.42 states/eV/atom
Space-group type: P4mm (99)

Winner for stability: run x

Run w
Here is a relaxed structure of CoIr2Rh from Alexandria. Energies are from PBEsol.

Geometry as extended XYZ:
```
4
Lattice="2.661 0.000 0.000 0.000 4.558 0.000 0.000 -1.523 4.329" Properties=species:S:1:pos:R:3 pbc="T T T"
Ir 1.331 -0.761 2.165
Ir 0.000 0.000 0.000
Co 0.000 1.517 2.164
Rh 1.331 2.279 0.000
```

Values from the calculation:
ρ: 17275 kg/m³
Density of states at the Fermi level: 1.40 states/eV/atom
Space-group type: P2/m (10)

Run x
Here is a relaxed structure of CoIr2Rh from Alexandria. Energies are from PBEsol.

Geometry as extended XYZ:
```
4
Lattice="-0.731 -2.561 0.116 0.680 -0.396 -4.479 4.334 0.215 1.444" Properties=species:S:1:pos:R:3 pbc="T T T"
Rh 4.285 -1.256 -0.712
Co 1.779 -1.910 -0.318
Ir 0.021 -0.006 -0.004
Ir 2.506 -0.834 -2.623
```

Values from the calculation:
ρ: 17393 kg/m³
Density of states at the Fermi level: 1.10 states/eV/atom
Space-group type: Cm (8)

Winner for stability: run x

Run w
Here is a relaxed structure of Li2Fe2Si2O7 from Alexandria. Energies are from PBEsol.

Geometry as extended XYZ:
```
13
Lattice="5.270 0.003 -0.023 2.637 4.570 -0.021 0.206 0.036 7.655" Properties=species:S:1:pos:R:3 pbc="T T T"
O 4.615 1.364 5.961
O 7.269 3.244 5.944
O 0.843 1.364 1.668
O 1.683 0.031 5.958
O 3.497 3.245 1.651
O 0.103 0.018 3.828
O 6.430 4.578 1.654
Si 8.031 4.593 5.407
Si 0.081 0.016 2.205
Fe 2.763 1.545 6.012
Fe 5.349 3.064 1.600
Li 5.400 3.070 6.176
Li 2.712 1.538 1.436
```

Values from the calculation:
ρ: 2646 kg/m³
Space-group type: P-1 (2)

Run x
Here is a relaxed structure of Li2Fe2Si2O7 from Alexandria. Energies are from PBEsol.

Geometry as extended XYZ:
```
26
Lattice="4.850 -0.003 0.000 -2.292 4.275 0.000 0.000 0.000 13.035" Properties=species:S:1:pos:R:3 pbc="T T T"
Fe 0.097 0.162 0.000
Fe 0.097 0.162 6.518
Fe 0.028 0.103 3.259
Fe 0.078 0.073 9.776
O 1.956 3.097 8.212
O -0.338 3.966 7.204
O 1.956 3.097 11.341
O 1.806 3.186 4.823
O -0.179 1.432 8.293
O 3.656 1.574 0.686
O -0.179 1.432 11.260
O 3.296 1.559 3.259
O 1.347 0.518 1.775
O -0.338 3.966 12.349
O 1.347 0.518 4.742
O 1.806 3.186 1.695
O 3.656 1.574 5.831
O -0.182 3.641 9.776
Si 2.477 1.695 1.784
Si 2.477 1.695 4.733
Si 0.325 2.984 11.251
Si 0.325 2.984 8.302
Li -0.014 3.173 1.080
Li -0.014 3.173 5.438
Li 2.804 1.486 7.597
Li 2.804 1.486 11.955
```

Values from the calculation:
ρ: 3611 kg/m³
Density of states at the Fermi level: 0.47 states/eV/atom
Space-group type: Ama2 (40)

Winner for stability: run x